Compound: SmDyMgTl
Source: Alexandria
Functional: PBE-GGA
Structure: relaxed

E_form   -244.4 meV/atom
Space-group type   No. 216

Unit cell a=5.388 b=5.388 c=5.388 alpha=60.00 beta=60.00 gamma=60.00
Fractional coordinates of all 4 atoms:
Sm  0.000  0.000  0.000
Dy  0.500  0.500  0.500
Mg  0.250  0.250  0.250
Tl  0.750  0.750  0.750

Compound: Sm4Dy2TmMg
Source: Alexandria
Functional: PBE-GGA
Structure: relaxed

E_form   12.8 meV/atom
Space-group type   No. 10

Unit cell a=5.032 b=5.024 c=9.929 alpha=90.00 beta=90.08 gamma=90.00
Fractional coordinates of all 8 atoms:
Sm  0.000  0.000  0.247
Sm  0.000  0.000  0.753
Sm  0.500  0.500  0.248
Sm  0.500  0.500  0.752
Dy  0.000  0.500  0.000
Dy  0.500  0.000  0.500
Tm  0.000  0.500  0.500
Mg  0.500  0.000  0.000

Compound: Sm3Dy6Tm2Mg
Source: Alexandria
Functional: PBE-GGA
Structure: relaxed

E_form   33.3 meV/atom
Space-group type   No. 12

Unit cell a=6.142 b=6.142 c=11.651 alpha=95.08 beta=95.08 gamma=120.03
Fractional coordinates of all 12 atoms:
Sm  0.000  0.000  0.000
Sm  0.334  0.666  0.000
Sm  0.666  0.334  0.000
Dy  0.087  0.420  0.255
Dy  0.247  0.247  0.746
Dy  0.420  0.087  0.255
Dy  0.580  0.913  0.745
Dy  0.753  0.753  0.254
Dy  0.913  0.580  0.745
Tm  0.166  0.834  0.500
Tm  0.834  0.166  0.500
Mg  0.500  0.500  0.500

Compound: SmDy6Tm2Mg
Source: Alexandria
Functional: PBE-GGA
Structure: relaxed

E_form   120.7 meV/atom
Space-group type   No. 15

Unit cell a=9.034 b=9.034 c=8.686 alpha=90.55 beta=90.55 gamma=118.53
Fractional coordinates of all 20 atoms:
Sm  0.040  0.960  0.750
Sm  0.960  0.040  0.250
Dy  0.042  0.466  0.305
Dy  0.110  0.793  0.055
Dy  0.207  0.890  0.445
Dy  0.269  0.545  0.918
Dy  0.455  0.731  0.582
Dy  0.466  0.042  0.805
Dy  0.534  0.958  0.195
Dy  0.545  0.269  0.418
Dy  0.731  0.455  0.082
Dy  0.793  0.110  0.555
Dy  0.890  0.207  0.945
Dy  0.958  0.534  0.695
Tm  0.218  0.317  0.559
Tm  0.317  0.218  0.059
Tm  0.683  0.782  0.941
Tm  0.782  0.683  0.441
Mg  0.444  0.556  0.250
Mg  0.556  0.444  0.750

Compound: Sm2Dy4TmMg
Source: Alexandria
Functional: PBE-GGA
Structure: relaxed

E_form   25.9 meV/atom
Space-group type   No. 123

Unit cell a=4.966 b=4.966 c=10.035 alpha=90.00 beta=90.00 gamma=90.00
Fractional coordinates of all 8 atoms:
Sm  0.000  0.000  0.000
Sm  0.500  0.500  0.500
Dy  0.000  0.500  0.250
Dy  0.000  0.500  0.750
Dy  0.500  0.000  0.250
Dy  0.500  0.000  0.750
Tm  0.000  0.000  0.500
Mg  0.500  0.500  0.000

Compound: SmDy2Tm2Mg5
Source: Alexandria
Functional: PBE-GGA
Structure: relaxed

E_form   73.6 meV/atom
Space-group type   No. 127

Unit cell a=10.561 b=10.561 c=5.082 alpha=90.00 beta=90.00 gamma=90.00
Fractional coordinates of all 20 atoms:
Sm  0.000  0.000  0.000
Sm  0.500  0.500  0.000
Dy  0.178  0.322  0.000
Dy  0.322  0.822  0.000
Dy  0.678  0.178  0.000
Dy  0.822  0.678  0.000
Tm  0.118  0.618  0.000
Tm  0.382  0.118  0.000
Tm  0.618  0.882  0.000
Tm  0.882  0.382  0.000
Mg  0.000  0.500  0.500
Mg  0.075  0.802  0.500
Mg  0.198  0.075  0.500
Mg  0.302  0.575  0.500
Mg  0.425  0.302  0.500
Mg  0.500  0.000  0.500
Mg  0.575  0.698  0.500
Mg  0.698  0.425  0.500
Mg  0.802  0.925  0.500
Mg  0.925  0.198  0.500